Entry 1:
Computed, not measured: a geometry-optimized La3NdGa4 structure at the PBE level of DFT.

Values from the calculation:
Offset from the most stable computed form (meV/atom): 0
ΔH_f (0 K) (eV per formula unit): -4.54
E_tot (eV per atom): -4.525

abc: 3.7529 3.7529 15.0127
angles: 90.00 90.00 90.00
Fractional coordinates of all 8 atoms:
La 0.0000 0.0000 0.0000
La 0.0000 0.0000 0.2522
La 0.0000 0.0000 0.7478
Nd 0.0000 0.0000 0.5000
Ga 0.5000 0.5000 0.1259
Ga 0.5000 0.5000 0.3809
Ga 0.5000 0.5000 0.6191
Ga 0.5000 0.5000 0.8741


Entry 2:
Computed, not measured: a geometry-optimized ReOsSeBr2 structure at the PBE level of DFT.

Values from the calculation:
Offset from the most stable computed form (meV/atom): 0
E_tot (eV per atom): -4.574

abc: 5.2401 5.2401 4.7033
angles: 90.00 90.00 90.00
Fractional coordinates of all 5 atoms:
Re 0.0000 0.0000 0.0000
Os 0.5000 0.5000 0.5000
Se 0.5000 0.5000 0.0000
Br 0.0000 0.5000 0.5000
Br 0.5000 0.0000 0.5000


Entry 3:
Computed, not measured: a geometry-optimized PrNd2Se4 structure at the PBE level of DFT.

Values from the calculation:
Offset from the most stable computed form (meV/atom): 36
E_tot (eV per atom): -5.862

abc: 8.0875 8.0875 7.4546
angles: 115.13 115.13 30.60
Fractional coordinates of all 7 atoms:
Pr 0.0000 0.0000 0.0000
Nd 0.2707 0.2707 0.2781
Nd 0.7293 0.7293 0.7219
Se 0.1251 0.1251 0.4403
Se 0.3608 0.3608 0.9970
Se 0.6392 0.6392 0.0030
Se 0.8749 0.8749 0.5597


Entry 4:
Computed, not measured: a geometry-optimized HoTm2Rh structure at the PBE level of DFT.

Values from the calculation:
Offset from the most stable computed form (meV/atom): 114
ΔH_f (0 K) (eV per formula unit): -1.79
E_tot (eV per atom): -5.665

abc: 3.4594 3.4594 8.4458
angles: 90.00 90.00 90.00
Fractional coordinates of all 4 atoms:
Ho 0.0000 0.0000 0.0000
Tm 0.5000 0.5000 0.3102
Tm 0.5000 0.5000 0.6898
Rh 0.0000 0.0000 0.5000


Entry 5:
Computed, not measured: a geometry-optimized MgTc structure at the PBE level of DFT.

Values from the calculation:
Offset from the most stable computed form (meV/atom): 274
ΔH_f (0 K) (eV per formula unit): 0.50
E_tot (eV per atom): -5.731

abc: 4.6208 7.5405 7.5405
angles: 21.70 90.00 90.00
Fractional coordinates of all 6 atoms:
Mg 0.0000 0.0000 0.0000
Mg 0.0000 0.3322 0.3322
Mg 0.5000 0.5553 0.5553
Tc 0.0000 0.6693 0.6693
Tc 0.5000 0.2259 0.2259
Tc 0.5000 0.8752 0.8752


Entry 6:
Computed, not measured: a geometry-optimized Li2Cd3Pd6 structure at the PBE level of DFT.

Values from the calculation:
ΔH_f (0 K) (eV per formula unit): -2.13
E_tot (eV per atom): -3.624

abc: 11.7545 11.7545 11.7545
angles: 160.29 160.29 28.02
Fractional coordinates of all 11 atoms:
Li 0.0459 0.0459 0.0000
Li 0.9541 0.9541 0.0000
Cd 0.3087 0.3087 0.0000
Cd 0.5000 0.5000 0.0000
Cd 0.6913 0.6913 0.0000
Pd 0.1011 0.6011 0.5000
Pd 0.1896 0.1896 0.0000
Pd 0.3989 0.8989 0.5000
Pd 0.6011 0.1011 0.5000
Pd 0.8104 0.8104 0.0000
Pd 0.8989 0.3989 0.5000


Entry 7:
Computed, not measured: a geometry-optimized MgIrPt2 structure at the PBE level of DFT.

Values from the calculation:
ΔH_f (0 K) (eV per formula unit): -1.32
E_tot (eV per atom): -5.964

abc: 2.7940 3.9756 5.5689
angles: 90.00 90.00 90.00
Fractional coordinates of all 4 atoms:
Mg 0.0000 0.0000 0.0000
Ir 0.0000 0.0000 0.5000
Pt 0.5000 0.5000 0.2564
Pt 0.5000 0.5000 0.7436


Entry 8:
Computed, not measured: a geometry-optimized TmZnGaAu structure at the PBE level of DFT.

Values from the calculation:
ΔH_f (0 K) (eV per formula unit): -1.95
E_tot (eV per atom): -3.500

abc: 4.7549 4.7549 4.7549
angles: 60.00 60.00 60.00
Fractional coordinates of all 4 atoms:
Tm 0.0000 0.0000 0.0000
Zn 0.5000 0.5000 0.5000
Ga 0.7500 0.7500 0.7500
Au 0.2500 0.2500 0.2500


Entry 9:
Computed, not measured: a geometry-optimized Tm2TiSi2Ir5 structure at the PBE level of DFT.

Values from the calculation:
E_tot (eV per atom): -8.153

abc: 9.5499 9.5499 3.5691
angles: 90.00 90.00 90.00
Fractional coordinates of all 20 atoms:
Tm 0.1743 0.3257 0.0000
Tm 0.3257 0.8257 0.0000
Tm 0.6743 0.1743 0.0000
Tm 0.8257 0.6743 0.0000
Ti 0.0000 0.0000 0.0000
Ti 0.5000 0.5000 0.0000
Si 0.1243 0.6243 0.0000
Si 0.3757 0.1243 0.0000
Si 0.6243 0.8757 0.0000
Si 0.8757 0.3757 0.0000
Ir 0.0000 0.5000 0.5000
Ir 0.0680 0.7909 0.5000
Ir 0.2091 0.0680 0.5000
Ir 0.2909 0.5680 0.5000
Ir 0.4320 0.2909 0.5000
Ir 0.5000 0.0000 0.5000
Ir 0.5680 0.7091 0.5000
Ir 0.7091 0.4320 0.5000
Ir 0.7909 0.9320 0.5000
Ir 0.9320 0.2091 0.5000


Entry 10:
Computed, not measured: a geometry-optimized Ac2SiPt3 structure at the PBE level of DFT.

Values from the calculation:
Offset from the most stable computed form (meV/atom): 11
E_tot (eV per atom): -6.394

abc: 4.2416 4.3461 7.8819
angles: 90.00 90.00 90.00
Fractional coordinates of all 6 atoms:
Ac 0.0000 0.0000 0.0000
Ac 0.0000 0.5000 0.4823
Si 0.5000 0.5000 0.8119
Pt 0.5000 0.0000 0.3318
Pt 0.5000 0.0000 0.6813
Pt 0.5000 0.5000 0.1155


Entry 11:
Computed, not measured: a geometry-optimized Tm6Sn3Te structure at the PBE level of DFT.

Values from the calculation:
E_tot (eV per atom): -4.743

abc: 9.2203 9.2203 7.4051
angles: 90.00 90.00 104.97
Fractional coordinates of all 20 atoms:
Tm 0.0026 0.9974 0.5000
Tm 0.0845 0.5336 0.0056
Tm 0.2552 0.7448 0.6227
Tm 0.2721 0.3672 0.6071
Tm 0.3672 0.2721 0.1071
Tm 0.4664 0.9155 0.0056
Tm 0.5336 0.0845 0.5056
Tm 0.6328 0.7279 0.6071
Tm 0.7279 0.6328 0.1071
Tm 0.7448 0.2552 0.1227
Tm 0.9155 0.4664 0.5056
Tm 0.9974 0.0026 0.0000
Sn 0.0716 0.2804 0.2695
Sn 0.2804 0.0716 0.7695
Sn 0.4176 0.5824 0.9067
Sn 0.5824 0.4176 0.4067
Sn 0.7196 0.9284 0.2695
Sn 0.9284 0.7196 0.7695
Te 0.1721 0.8279 0.2497
Te 0.8279 0.1721 0.7497


Entry 12:
Computed, not measured: a geometry-optimized La2TbCo2 structure at the PBE level of DFT.

Values from the calculation:
ΔH_f (0 K) (eV per formula unit): -0.32
E_tot (eV per atom): -5.803

abc: 6.6404 6.6404 6.6404
angles: 142.64 132.30 62.11
Fractional coordinates of all 5 atoms:
La 0.1757 0.1757 0.0000
La 0.8243 0.8243 0.0000
Tb 0.5000 0.5000 0.0000
Co 0.3577 0.8577 0.5000
Co 0.6423 0.1423 0.5000


Which value of E_tot does entry 8 give? -3.500 eV per atom